# Pm2CuSi3Ir4 | Alexandria | PBE | optimized geometry
data_Pm2CuSi3Ir4
_cell_length_a 4.151
_cell_length_b 4.151
_cell_length_c 10.054
_cell_angle_alpha 90.00
_cell_angle_beta 90.00
_cell_angle_gamma 90.00
_space_group_name_H-M_alt 'P -4 m 2'
_space_group_IT_number 115
loop_
_space_group_symop_operation_xyz
'x,y,z'
'y,-x,-z'
'-x,-y,z'
'-y,x,-z'
'-x,y,z'
'-y,-x,-z'
'x,-y,z'
'y,x,-z'
loop_
_atom_site_label
_atom_site_type_symbol
_atom_site_fract_x
_atom_site_fract_y
_atom_site_fract_z
_atom_site_occupancy
Pm1 Pm 0.000 0.500 0.245 1
Cu1 Cu 0.500 0.500 0.000 1
Si1 Si 0.000 0.000 0.000 1
Si2 Si 0.000 0.500 0.628 1
Ir1 Ir 0.000 0.000 0.500 1
Ir2 Ir 0.000 0.500 0.865 1
Ir3 Ir 0.500 0.500 0.500 1
# Spin magnetization = 0.00 μB/atom
# DOS(E_F) = 0.57 states/eV/atom
# Raw formation energy = -892 meV per atom

# Sr2HfBiO | Alexandria | PBE | optimized geometry
data_Sr2HfBiO
_cell_length_a 6.542
_cell_length_b 6.542
_cell_length_c 3.969
_cell_angle_alpha 90.00
_cell_angle_beta 90.00
_cell_angle_gamma 90.00
_space_group_name_H-M_alt 'P 4/m m m'
_space_group_IT_number 123
_space_group_name_Hall '-P 4 2'
loop_
_atom_site_label
_atom_site_type_symbol
_atom_site_fract_x
_atom_site_fract_y
_atom_site_fract_z
_atom_site_occupancy
Sr1 Sr 0.000 0.500 0.000 1
Hf1 Hf 0.000 0.000 0.000 1
Bi1 Bi 0.500 0.500 0.500 1
O1 O 0.000 0.000 0.500 1
# Spin magnetization = 0.03 μB/atom
# DOS(E_F) = 0.81 states/eV/atom
# Raw formation energy = -709 meV per atom

# PtN | Alexandria | PBE | optimized geometry
data_PtN
_cell_length_a 5.855
_cell_length_b 5.855
_cell_length_c 5.855
_cell_angle_alpha 90.00
_cell_angle_beta 90.00
_cell_angle_gamma 90.00
_space_group_name_H-M_alt 'P m -3 n'
_space_group_IT_number 223
_space_group_name_Hall '-P 4n 2 3'
loop_
_atom_site_label
_atom_site_type_symbol
_atom_site_fract_x
_atom_site_fract_y
_atom_site_fract_z
_atom_site_occupancy
Pt1 Pt 0.000 0.250 0.500 1
N1 N 0.000 0.500 0.250 1
# Spin magnetization = 0.00 μB/atom
# DOS(E_F) = 0.69 states/eV/atom
# Raw formation energy = 1278 meV per atom